1.
VASP calculation (GGA-PBE) on V7Si2P2 after structural relaxation.

Unit cell a=5.595 b=5.595 c=5.188 alpha=98.87 beta=98.87 gamma=79.00
Fractional positions:
V 0.000 0.000 0.000
V 0.040 0.448 0.275
V 0.448 0.040 0.275
V 0.486 0.486 0.722
V 0.514 0.514 0.278
V 0.552 0.960 0.725
V 0.960 0.552 0.725
Si 0.177 0.823 0.500
Si 0.823 0.177 0.500
P 0.271 0.271 0.929
P 0.729 0.729 0.071

SG: C2/m, No. 12
formation energy from raw total energies: -0.2833 eV/atom
ρ: 5.05 g cm⁻³
N(E_F): 7.0 states/eV/cell
total energy: -8.056 eV/atom

=====

2.
VASP calculation (GGA-PBE) on Pm2Ga3Pd2 after structural relaxation.

Unit cell a=10.282 b=4.443 c=6.761 alpha=90.00 beta=114.27 gamma=90.00
Fractional positions:
Pm 0.151 0.000 0.273
Pm 0.349 0.500 0.727
Pm 0.651 0.500 0.273
Pm 0.849 0.000 0.727
Ga 0.000 0.500 0.500
Ga 0.114 0.500 0.937
Ga 0.386 0.000 0.063
Ga 0.500 0.000 0.500
Ga 0.614 0.000 0.937
Ga 0.886 0.500 0.063
Pd 0.135 0.000 0.723
Pd 0.365 0.500 0.277
Pd 0.635 0.500 0.723
Pd 0.865 0.000 0.277

SG: C2/m, No. 12
ρ: 8.40 g cm⁻³
energy of formation from the pure elements: -5.31 eV/f.u.
N(E_F): 7.4 states/eV/cell
total energy: -4.896 eV/atom

=====

3.
VASP calculation (GGA-PBE) on CaReN3 after structural relaxation.

Unit cell a=7.450 b=7.450 c=6.285 alpha=105.60 beta=105.60 gamma=83.94
Fractional positions:
Ca 0.088 0.912 0.750
Ca 0.295 0.705 0.250
Ca 0.705 0.295 0.750
Ca 0.912 0.088 0.250
Re 0.203 0.378 0.773
Re 0.378 0.203 0.273
Re 0.622 0.797 0.727
Re 0.797 0.622 0.227
N 0.011 0.226 0.662
N 0.122 0.611 0.829
N 0.226 0.011 0.162
N 0.342 0.355 0.063
N 0.355 0.342 0.563
N 0.389 0.878 0.671
N 0.611 0.122 0.329
N 0.645 0.658 0.437
N 0.658 0.645 0.937
N 0.774 0.989 0.838
N 0.878 0.389 0.171
N 0.989 0.774 0.338

SG: C2/c, No. 15
formation energy from raw total energies: -0.5266 eV/atom
ρ: 5.51 g cm⁻³
N(E_F): 0.0 states/eV/cell
total energy: -8.412 eV/atom

=====

4.
VASP calculation (GGA-PBE) on TlBiAu after structural relaxation.

Unit cell a=5.359 b=4.572 c=7.531 alpha=90.00 beta=107.06 gamma=90.00
Fractional positions:
Tl 0.196 0.250 0.164
Tl 0.804 0.750 0.836
Bi 0.237 0.250 0.703
Bi 0.763 0.750 0.297
Au 0.319 0.750 0.483
Au 0.681 0.250 0.517

SG: P2_1/m, No. 11
ρ: 11.49 g cm⁻³
energy of formation from the pure elements: -0.06 eV/f.u.
N(E_F): 2.8 states/eV/cell
total energy: -3.195 eV/atom

=====

5.
VASP calculation (GGA-PBE) on Mg3HPd after structural relaxation.

Unit cell a=4.999 b=4.999 c=4.999 alpha=90.00 beta=90.00 gamma=90.00
Fractional positions:
Mg 0.000 0.000 0.500
Mg 0.000 0.500 0.000
Mg 0.500 0.000 0.000
H 0.500 0.500 0.500
Pd 0.000 0.000 0.000

SG: Pm-3m, No. 221
ρ: 2.40 g cm⁻³
N(E_F): 2.3 states/eV/cell
total energy: -2.395 eV/atom

=====

6.
VASP calculation (GGA-PBE) on Ta2GaSb2 after structural relaxation.

Unit cell a=7.399 b=7.399 c=3.788 alpha=90.00 beta=90.00 gamma=90.00
Fractional positions:
Ta 0.142 0.358 0.000
Ta 0.358 0.858 0.000
Ta 0.642 0.142 0.000
Ta 0.858 0.642 0.000
Ga 0.000 0.000 0.000
Ga 0.500 0.500 0.000
Sb 0.154 0.654 0.500
Sb 0.346 0.154 0.500
Sb 0.654 0.846 0.500
Sb 0.846 0.346 0.500

SG: P4/mbm, No. 127
formation energy from raw total energies: 0.0816 eV/atom
ρ: 10.81 g cm⁻³
N(E_F): 5.5 states/eV/cell
total energy: -6.914 eV/atom

=====

7.
VASP calculation (GGA-PBE) on Ac4Hg3N2 after structural relaxation.

Unit cell a=7.782 b=7.782 c=9.805 alpha=114.83 beta=114.83 gamma=31.69
Fractional positions:
Ac 0.130 0.130 0.422
Ac 0.307 0.307 0.874
Ac 0.693 0.693 0.126
Ac 0.870 0.870 0.578
Hg 0.000 0.000 0.000
Hg 0.402 0.402 0.288
Hg 0.598 0.598 0.712
N 0.301 0.301 0.635
N 0.699 0.699 0.365

SG: C2/m, No. 12
formation energy from raw total energies: -0.7369 eV/atom
ρ: 9.10 g cm⁻³
N(E_F): 6.5 states/eV/cell
total energy: -4.514 eV/atom

=====

8.
VASP calculation (GGA-PBE) on RbTcNiS3 after structural relaxation.

Unit cell a=8.228 b=3.659 c=9.294 alpha=90.00 beta=115.80 gamma=90.00
Fractional positions:
Rb 0.008 0.250 0.258
Rb 0.992 0.750 0.742
Tc 0.472 0.250 0.173
Tc 0.528 0.750 0.827
Ni 0.477 0.750 0.393
Ni 0.523 0.250 0.607
S 0.269 0.750 0.146
S 0.335 0.750 0.557
S 0.360 0.250 0.877
S 0.640 0.750 0.123
S 0.665 0.250 0.443
S 0.731 0.250 0.854

SG: P2_1/m, No. 11
formation energy from raw total energies: -0.6368 eV/atom
ρ: 4.46 g cm⁻³
N(E_F): 8.2 states/eV/cell
total energy: -5.553 eV/atom

=====

9.
VASP calculation (GGA-PBE) on Nd2EuTm after structural relaxation.

Unit cell a=5.191 b=5.191 c=5.143 alpha=90.00 beta=90.00 gamma=90.00
Fractional positions:
Nd 0.000 0.500 0.000
Nd 0.500 0.000 0.000
Eu 0.000 0.000 0.500
Tm 0.500 0.500 0.500

SG: P4/mmm, No. 123
ρ: 7.30 g cm⁻³
energy of formation from the pure elements: 0.30 eV/f.u.
N(E_F): 5.8 states/eV/cell
total energy: -5.996 eV/atom

=====

10.
VASP calculation (GGA-PBE) on KCd2Au after structural relaxation.

Unit cell a=5.118 b=5.907 c=7.516 alpha=90.00 beta=90.00 gamma=90.00
Fractional positions:
K 0.000 0.000 0.000
K 0.500 0.500 0.500
Cd 0.000 0.000 0.524
Cd 0.000 0.500 0.792
Cd 0.500 0.000 0.292
Cd 0.500 0.500 0.024
Au 0.000 0.500 0.193
Au 0.500 0.000 0.693

SG: Imm2, No. 44
ρ: 6.74 g cm⁻³
energy of formation from the pure elements: -0.24 eV/f.u.
N(E_F): 2.6 states/eV/cell
total energy: -1.612 eV/atom

=====

11.
VASP calculation (GGA-PBE) on Tb2ErAu after structural relaxation.

Unit cell a=3.631 b=3.631 c=8.396 alpha=90.00 beta=90.00 gamma=90.00
Fractional positions:
Tb 0.000 0.000 0.210
Tb 0.000 0.000 0.790
Er 0.500 0.500 0.500
Au 0.500 0.500 0.000

SG: P4/mmm, No. 123
ρ: 10.23 g cm⁻³
energy of formation from the pure elements: -1.53 eV/f.u.
N(E_F): 5.4 states/eV/cell
total energy: -4.659 eV/atom

=====

12.
VASP calculation (GGA-PBE) on Th2SnSb4 after structural relaxation.

Unit cell a=8.726 b=10.069 c=4.777 alpha=90.00 beta=90.00 gamma=90.00
Fractional positions:
Th 0.000 0.230 0.000
Th 0.000 0.770 0.000
Th 0.500 0.270 0.000
Th 0.500 0.730 0.000
Sn 0.000 0.000 0.500
Sn 0.500 0.500 0.500
Sb 0.226 0.500 0.000
Sb 0.250 0.250 0.500
Sb 0.250 0.750 0.500
Sb 0.274 0.000 0.000
Sb 0.726 0.000 0.000
Sb 0.750 0.250 0.500
Sb 0.750 0.750 0.500
Sb 0.774 0.500 0.000

SG: Cmmm, No. 65
formation energy from raw total energies: -0.5242 eV/atom
ρ: 8.47 g cm⁻³
N(E_F): 7.9 states/eV/cell
total energy: -5.572 eV/atom

=====

13.
VASP calculation (GGA-PBE) on BaTeI2N after structural relaxation.

Unit cell a=6.542 b=6.542 c=4.135 alpha=90.00 beta=90.00 gamma=90.00
Fractional positions:
Ba 0.000 0.000 0.000
Te 0.500 0.500 0.500
I 0.000 0.500 0.500
I 0.500 0.000 0.500
N 0.500 0.500 0.000

SG: P4/mmm, No. 123
formation energy from raw total energies: -0.1239 eV/atom
ρ: 5.00 g cm⁻³
N(E_F): 2.0 states/eV/cell
total energy: -3.422 eV/atom